## AlOs3I (GGA-PBE)

Data for a relaxed structure of AlOs3I.

Computed properties:
The value obtained for the density of states at the Fermi level is 0.82 states/eV/atom. As for the energy above the most stable polymorph in this dataset: 0.000 eV/f.u. The value obtained for the calculated total energy is -0.4276 Ry per atom. The uncorrected formation energy comes out at 1978 meV per atom. The total magnetic moment comes out at 0.00 μB per formula unit. The value obtained for the theoretical density is 12.914 g/cm3.

Cell and atoms, written as CIF:
```
data_AlOs3I
_space_group_name_H-M_alt 'P m -3 m'
_space_group_IT_number 221
_space_group_name_Hall '-P 4 2 3'
_cell_length_a 4.533
_cell_length_b 4.533
_cell_length_c 4.533
_cell_angle_alpha 90.00
_cell_angle_beta 90.00
_cell_angle_gamma 90.00
loop_
_atom_site_label
_atom_site_type_symbol
_atom_site_fract_x
_atom_site_fract_y
_atom_site_fract_z
Al1 Al 0.000 0.000 0.000
Os1 Os 0.000 0.000 0.500
I1 I 0.500 0.500 0.500
```

## BaZr2H8 (GGA-PBE)

Data for a relaxed structure of BaZr2H8.

Computed properties:
The value obtained for the density of states at the Fermi level is 0.22 states/eV/atom. The value obtained for the calculated total energy is -0.3355 Ry per atom. The total magnetic moment comes out at 0.00 μB per formula unit. The value obtained for the theoretical density is 4.535 g/cm3.

Cell and atoms, written as CIF:
```
data_BaZr2H8
_space_group_name_H-M_alt 'C 1 2/m 1'
_space_group_IT_number 12
_space_group_name_Hall '-C 2y'
_cell_length_a 6.214
_cell_length_b 9.802
_cell_length_c 3.949
_cell_angle_alpha 90.00
_cell_angle_beta 93.54
_cell_angle_gamma 90.00
loop_
_atom_site_label
_atom_site_type_symbol
_atom_site_fract_x
_atom_site_fract_y
_atom_site_fract_z
Ba1 Ba 0.000 0.000 0.000
Zr1 Zr 0.000 0.329 0.500
H1 H 0.000 0.272 0.000
H2 H 0.078 0.500 0.752
H3 H 0.174 0.150 0.516
```

## Mn4TlMo (GGA-PBE)

Data for a relaxed structure of Mn4TlMo.

Computed properties:
The value obtained for the density of states at the Fermi level is 0.99 states/eV/atom. The calculation puts the formation energy at 306.7 meV per atom. The value obtained for the calculated total energy is -0.5884 Ry per atom. The total magnetic moment comes out at 4.71 μB per formula unit. The value obtained for the theoretical density is 10.622 g/cm3.

Cell and atoms, written as CIF:
```
data_Mn4TlMo
_space_group_name_H-M_alt 'F -4 3 m'
_space_group_IT_number 216
_space_group_name_Hall 'F -4 2 3'
_cell_length_a 6.877
_cell_length_b 6.877
_cell_length_c 6.877
_cell_angle_alpha 90.00
_cell_angle_beta 90.00
_cell_angle_gamma 90.00
loop_
_atom_site_label
_atom_site_type_symbol
_atom_site_fract_x
_atom_site_fract_y
_atom_site_fract_z
Mn1 Mn 0.124 0.124 0.124
Tl1 Tl 0.250 0.250 0.750
Mo1 Mo 0.000 0.000 0.500
```

## ZrRuS3 (GGA-PBE)

Data for a relaxed structure of ZrRuS3.

Computed properties:
The value obtained for the density of states at the Fermi level is 0.76 states/eV/atom. As for the energy above the most stable polymorph in this dataset: 0.000 eV/f.u. The value obtained for the calculated total energy is -0.4436 Ry per atom. The uncorrected formation energy comes out at 6 meV per atom. The total magnetic moment comes out at 0.00 μB per formula unit. The value obtained for the theoretical density is 5.068 g/cm3.

Cell and atoms, written as CIF:
```
data_ZrRuS3
_space_group_name_H-M_alt 'P m -3 m'
_space_group_IT_number 221
_space_group_name_Hall '-P 4 2 3'
_cell_length_a 4.555
_cell_length_b 4.555
_cell_length_c 4.555
_cell_angle_alpha 90.00
_cell_angle_beta 90.00
_cell_angle_gamma 90.00
loop_
_atom_site_label
_atom_site_type_symbol
_atom_site_fract_x
_atom_site_fract_y
_atom_site_fract_z
Zr1 Zr 0.000 0.000 0.000
Ru1 Ru 0.500 0.500 0.500
S1 S 0.000 0.500 0.500
```

Number 4 is which compound? ZrRuS3